No. 1
20
Lattice="3.0440 -3.0167 0.0000 3.0440 3.0167 0.0000 -3.0426 0.0000 11.5507" Properties=species:S:1:pos:R:3 comment="AlTc2B2 (PBE, relaxed)" polymorph_energy_ev_per_atom=0.000 mass_density_g_cm3=7.66 pbc="T T T"
B 1.5236 0.0025 9.1608
B 0.0008 -0.0024 3.3855
B 1.5218 -0.0025 2.3899
B 3.0449 -0.0025 3.3854
B 4.5658 -0.0024 2.3898
B -1.5204 0.0024 9.1609
B 3.0445 0.0024 8.1652
B 0.0005 0.0025 8.1653
Tc 1.5228 -1.5104 4.1676
Tc 0.0015 1.5104 9.9430
Tc 0.0037 -1.5063 9.9427
Tc 3.0416 1.5063 1.6080
Tc 3.0439 -1.5104 1.6077
Tc 1.5203 -1.5063 7.3834
Tc 1.5226 1.5104 7.3831
Tc 1.5250 1.5063 4.1673
Al 3.0446 -0.0016 5.7754
Al 4.5659 0.0016 0.0000
Al 0.0007 0.0016 5.7754
Al 1.5220 -0.0016 0.0000


No. 2
10
Lattice="-0.1382 -5.7423 -1.2997 3.5025 0.9648 -4.6351 2.4233 -0.4515 1.7371" Properties=species:S:1:pos:R:3 comment="AlTc2B2 (PBE, relaxed)" polymorph_energy_ev_per_atom=0.014 mass_density_g_cm3=7.77 pbc="T T T"
Al 0.0000 0.0000 0.0000
Al 1.6821 -2.3887 -2.9674
Tc 4.0089 -3.3040 -3.8336
Tc 2.2368 -4.6508 -1.7117
Tc 1.7787 -1.9249 -0.3641
Tc 3.5507 -0.5781 -2.4860
B 1.3433 -0.2690 -1.9438
B 0.3078 -3.4064 -1.3148
B 2.0209 -4.5084 -3.9910
B 3.0565 -1.3711 -4.6200


No. 3
5
Lattice="-1.4458 1.4458 6.7959 1.4458 -1.4458 6.7959 1.4458 1.4458 -6.7959" Properties=species:S:1:pos:R:3 comment="AlTc2B2 (PBE, relaxed)" polymorph_energy_ev_per_atom=0.339 mass_density_g_cm3=7.15 pbc="T T T"
B 0.0000 1.4458 3.3979
B 1.4458 0.0000 3.3979
Al 0.0000 0.0000 0.0000
Tc 0.0000 0.0000 5.0832
Tc 0.0000 0.0000 8.5085


No. 4
3
Lattice="0.8488 -3.5675 1.2865 -2.0368 -1.5460 2.9264 -2.4462 -2.9428 -0.6769" Properties=species:S:1:pos:R:3 comment="AlTcB (PBE, relaxed)" polymorph_energy_ev_per_atom=0.000 mass_density_g_cm3=5.43 pbc="T T T"
Tc 0.0000 0.0000 0.0000
B -0.9086 -2.0141 0.8840
Al -2.7257 -6.0423 2.6519